DFT (PBE) results for a geometry-optimized ErHg structure.

Unit cell a=3.6927 b=3.6927 c=3.6903 alpha=90.00 beta=90.00 gamma=90.00
Closest atoms and distances in Å follow each position.
Positions (direct):
Er1 0.5000 0.5000 0.5000  8 Hg 3.20
Hg1 0.0000 0.0000 0.0000  8 Er 3.20

Density of states at the Fermi level: 1.82 states/eV/f.u.
Formation energy from the elements: -0.479 eV per atom